Entry 1:
Mg2GaSi2Rh5 (PBE-GGA, optimized geometry); E = -6.139 eV per atom; DOS at the Fermi energy = 0.29 states/eV per atom; calculated volume = 14.91 Å³ per atom; magnetic moment = 0.0 μB/f.u.
1.0
9.575 0.000 0.000
0.000 9.575 0.000
0.000 0.000 3.253
Mg Ga Si Rh
4 2 4 10
Cartesian
1.634 3.154 0.000
3.154 7.941 0.000
6.421 1.634 0.000
7.941 6.421 0.000
0.000 0.000 0.000
4.787 4.787 0.000
1.246 6.033 0.000
3.542 1.246 0.000
6.033 8.329 0.000
8.329 3.542 0.000
0.000 4.787 1.626
0.704 7.632 1.626
1.943 0.704 1.626
2.844 5.491 1.626
4.084 2.844 1.626
4.787 0.000 1.626
5.491 6.731 1.626
6.731 4.084 1.626
7.632 8.871 1.626
8.871 1.943 1.626


Entry 2:
NbI (PBE-GGA, optimized geometry); E = -5.268 eV per atom; DOS at the Fermi energy = 0.23 states/eV per atom; calculated volume = 32.87 Å³ per atom; magnetic moment = 0.0 μB/f.u.
1.0
6.960 0.000 0.000
0.000 6.960 0.000
0.000 0.000 5.429
Nb I
4 4
Cartesian
0.769 0.769 0.000
2.711 4.249 2.714
4.249 2.711 2.714
6.191 6.191 0.000
1.490 1.490 2.714
1.990 4.970 0.000
4.970 1.990 0.000
5.470 5.470 2.714


Entry 3:
Pr4GeBr5 (PBE-GGA, optimized geometry); E = -4.749 eV per atom; DOS at the Fermi energy = 0.38 states/eV per atom; calculated volume = 34.29 Å³ per atom; magnetic moment = 0.0 μB/f.u.
1.0
9.475 -2.118 0.000
9.475 2.118 0.000
-2.034 0.000 8.541
Pr Ge Br
4 1 5
Cartesian
-0.455 0.000 1.943
17.369 0.000 6.598
4.693 0.000 7.837
12.222 0.000 0.704
9.475 0.000 0.000
2.481 0.000 2.832
1.519 0.000 7.163
8.457 0.000 4.270
15.396 0.000 1.378
14.434 0.000 5.709


Entry 4:
Eu2TlTe (PBE-GGA, optimized geometry); E = -7.399 eV per atom; DOS at the Fermi energy = 5.78 states/eV per atom; calculated volume = 35.59 Å³ per atom; magnetic moment = 14.5 μB/f.u.
1.0
2.190 1.264 8.569
-2.190 1.264 8.569
0.000 -2.529 8.569
Eu Tl Te
2 1 1
Cartesian
0.000 0.000 6.273
0.000 0.000 19.436
0.000 0.000 0.000
0.000 0.000 12.854


Entry 5:
La12Zn6Co (PBE-GGA, optimized geometry); DOS at the Fermi energy = 1.58 states/eV per atom; calculated volume = 30.36 Å³ per atom; magnetic moment = 0.0 μB/f.u.; energy of formation from the pure elements = -2.24 eV/f.u.
1.0
6.095 3.519 4.483
-6.095 3.519 4.483
0.000 -7.038 4.483
La Zn Co
12 6 1
Cartesian
-5.428 -1.460 7.308
-1.450 -5.431 6.142
-1.427 -1.656 5.194
-3.978 3.971 6.142
-0.721 2.064 5.194
-2.148 0.407 8.257
2.148 -0.407 5.194
0.721 -2.064 8.257
3.978 -3.971 7.308
1.427 1.657 8.257
1.450 5.431 7.308
5.428 1.460 6.142
-3.604 0.702 5.529
-2.410 -2.770 7.921
1.194 -3.473 5.529
-1.194 3.473 7.921
2.410 2.770 5.529
3.604 -0.702 7.921
0.000 0.000 0.000


Entry 6:
La7Nd12Sn (PBE-GGA, optimized geometry); DOS at the Fermi energy = 1.79 states/eV per atom; calculated volume = 36.16 Å³ per atom; magnetic moment = 0.0 μB/f.u.; energy of formation from the pure elements = 2.03 eV/f.u.
1.0
6.298 3.636 5.263
-6.298 3.636 5.263
0.000 -7.272 5.263
La Nd Sn
7 12 1
Cartesian
0.000 0.000 0.000
-3.762 1.036 5.770
0.984 -3.776 5.770
-2.778 -2.740 10.019
2.778 2.740 5.770
-0.984 3.776 10.019
3.762 -1.036 10.019
-0.711 -2.031 3.028
-1.403 1.631 3.028
-2.046 -2.059 6.694
2.114 0.399 3.028
-2.806 0.742 9.095
-0.760 2.801 6.694
0.760 -2.801 9.095
2.806 -0.742 6.694
-2.114 -0.399 12.761
2.046 2.059 9.095
1.403 -1.631 12.761
0.711 2.031 12.761
0.000 0.000 7.895


Entry 7:
Mg2Zr2Cd7 (PBE-GGA, optimized geometry); DOS at the Fermi energy = 0.47 states/eV per atom; calculated volume = 22.67 Å³ per atom; magnetic moment = 0.0 μB/f.u.; energy of formation from the pure elements = 0.03 eV/f.u.
1.0
-1.642 7.512 5.056
1.642 -7.512 5.056
1.642 7.512 -5.056
Mg Zr Cd
2 2 7
Cartesian
0.000 1.811 0.000
0.000 13.214 0.000
1.642 0.000 4.918
0.000 0.000 7.397
1.642 -2.472 2.610
0.000 0.000 2.250
1.642 4.796 0.166
1.642 2.472 2.610
0.000 4.983 2.705
0.000 2.717 5.221
0.000 10.042 2.705


Entry 8:
RbTaFeGeTe (PBE-GGA, optimized geometry); E = -5.949 eV per atom; DOS at the Fermi energy = 0.40 states/eV per atom; calculated volume = 25.93 Å³ per atom; magnetic moment = 0.0 μB/f.u.
1.0
4.094 0.000 0.000
-2.047 3.545 0.000
0.000 0.000 8.933
Rb Ta Fe Ge Te
1 1 1 1 1
Cartesian
0.000 0.000 0.000
0.000 0.000 4.679
2.047 1.182 4.008
2.047 1.182 6.329
0.000 2.363 2.797


Entry 9:
ReTcS2 (PBE-GGA, optimized geometry); E = -7.714 eV per atom; DOS at the Fermi energy = 0.70 states/eV per atom; calculated volume = 15.25 Å³ per atom; magnetic moment = 0.0 μB/f.u.
1.0
1.498 0.865 7.849
-1.498 0.865 7.849
0.000 -1.730 7.849
Re Tc S
1 1 2
Cartesian
0.000 0.000 0.000
0.000 0.000 11.774
0.000 0.000 2.250
0.000 0.000 21.297


Entry 10:
YSc2GaRh (PBE-GGA, optimized geometry); DOS at the Fermi energy = 1.12 states/eV per atom; calculated volume = 26.23 Å³ per atom; magnetic moment = 0.0 μB/f.u.; energy of formation from the pure elements = -1.13 eV/f.u.
1.0
4.949 0.000 0.000
0.000 4.949 0.000
0.000 0.000 5.355
Y Sc Ga Rh
1 2 1 1
Cartesian
0.000 0.000 0.000
0.000 2.474 2.678
2.474 0.000 2.678
2.474 2.474 0.000
0.000 0.000 2.678


Entry 11:
KCa3Se4O12 (PBE-GGA, optimized geometry); E = -5.294 eV per atom; DOS at the Fermi energy = 0.41 states/eV per atom; calculated volume = 17.46 Å³ per atom; magnetic moment = 0.0 μB/f.u.
1.0
5.723 3.304 3.078
-5.723 3.304 3.078
0.000 -6.608 3.078
K Ca Se O
1 3 4 12
Cartesian
0.000 0.000 0.000
-3.268 -0.947 3.078
-3.268 0.947 6.156
0.814 3.304 3.078
-2.383 -4.127 4.617
0.000 0.000 4.617
-2.383 4.127 4.617
4.765 0.000 4.617
-1.296 -1.610 1.993
-4.958 0.000 4.617
-0.747 1.928 1.993
-1.821 0.000 4.617
2.043 -0.317 1.993
2.479 -4.294 4.617
0.911 -1.577 4.617
-0.747 -1.928 7.240
0.911 1.577 4.617
-1.296 1.610 7.240
2.479 4.294 4.617
2.043 0.317 7.240


Entry 12:
GaNi2Au (PBE-GGA, optimized geometry); DOS at the Fermi energy = 0.58 states/eV per atom; calculated volume = 13.44 Å³ per atom; magnetic moment = 0.0 μB/f.u.; energy of formation from the pure elements = -0.85 eV/f.u.
1.0
3.858 0.000 0.000
0.000 3.858 0.000
0.000 0.000 3.611
Ga Ni Au
1 2 1
Cartesian
0.000 0.000 0.000
0.000 1.929 1.806
1.929 0.000 1.806
1.929 1.929 0.000


Entry 13:
TlReP2O (PBE-GGA, optimized geometry); E = -4.397 eV per atom; DOS at the Fermi energy = 0.77 states/eV per atom; calculated volume = 20.76 Å³ per atom; magnetic moment = 3.0 μB/f.u.
1.0
5.083 0.000 0.000
0.000 5.083 0.000
0.000 0.000 4.017
Tl Re P O
1 1 2 1
Cartesian
0.000 0.000 0.000
2.542 2.542 2.008
0.000 2.542 0.000
2.542 0.000 0.000
0.000 0.000 2.008


Entry 14:
BeCr2 (PBE-GGA, optimized geometry); DOS at the Fermi energy = 0.68 states/eV per atom; calculated volume = 10.71 Å³ per atom; magnetic moment = 0.0 μB/f.u.; energy of formation from the pure elements = 0.72 eV/f.u.
1.0
-1.163 1.163 11.878
1.163 -1.163 11.878
1.163 1.163 -11.878
Be Cr
2 4
Cartesian
1.163 0.582 2.969
0.000 0.582 8.908
1.163 -0.582 7.084
1.163 -0.582 10.732
0.000 1.745 1.145
0.000 1.745 4.793


Entry 15:
In2AgAu2 (PBE-GGA, optimized geometry); DOS at the Fermi energy = 0.35 states/eV per atom; calculated volume = 21.56 Å³ per atom; magnetic moment = 0.0 μB/f.u.; energy of formation from the pure elements = -0.06 eV/f.u.
1.0
7.640 0.000 0.000
0.000 7.640 0.000
0.000 0.000 3.694
In Ag Au
4 2 4
Cartesian
1.233 2.587 0.000
2.587 6.407 0.000
5.053 1.233 0.000
6.407 5.053 0.000
0.000 0.000 0.000
3.820 3.820 0.000
1.060 4.880 1.847
2.760 1.060 1.847
4.880 6.580 1.847
6.580 2.760 1.847


Entry 16:
PrNdErAg (PBE-GGA, optimized geometry); DOS at the Fermi energy = 1.39 states/eV per atom; calculated volume = 29.77 Å³ per atom; magnetic moment = 0.0 μB/f.u.; energy of formation from the pure elements = -0.50 eV/f.u.
1.0
3.685 0.000 0.000
0.000 3.685 0.000
0.000 0.000 8.771
Pr Nd Er Ag
1 1 1 1
Cartesian
0.000 0.000 0.000
1.842 1.842 6.161
1.842 1.842 2.513
0.000 0.000 4.157


Entry 17:
Si4HgMo (PBE-GGA, optimized geometry); E = -4.896 eV per atom; DOS at the Fermi energy = 1.02 states/eV per atom; calculated volume = 15.39 Å³ per atom; magnetic moment = 0.3 μB/f.u.
1.0
0.000 3.588 3.588
3.588 0.000 3.588
3.588 3.588 0.000
Si Hg Mo
4 1 1
Cartesian
2.700 2.700 2.700
4.475 4.475 2.700
4.475 2.700 4.475
2.700 4.475 4.475
0.000 0.000 0.000
5.382 5.382 5.382


Entry 18:
LiThMgSn2 (PBE-GGA, optimized geometry); DOS at the Fermi energy = 0.48 states/eV per atom; calculated volume = 24.74 Å³ per atom; magnetic moment = 0.0 μB/f.u.; energy of formation from the pure elements = -1.88 eV/f.u.
1.0
-2.192 2.192 6.438
2.192 -2.192 6.438
2.192 2.192 -6.438
Li Th Mg Sn
1 1 1 2
Cartesian
0.000 0.000 0.000
0.000 2.192 3.219
0.000 0.000 6.438
2.192 0.000 1.794
2.192 0.000 4.644


Entry 19:
La3IrN (PBE-GGA, optimized geometry); E = -7.029 eV per atom; DOS at the Fermi energy = 1.03 states/eV per atom; calculated volume = 24.39 Å³ per atom; magnetic moment = 0.0 μB/f.u.
1.0
4.959 0.000 0.000
0.000 4.959 0.000
0.000 0.000 4.959
La Ir N
3 1 1
Cartesian
0.000 0.000 2.480
0.000 2.480 0.000
2.480 0.000 0.000
2.480 2.480 2.480
0.000 0.000 0.000


Entry 20:
YNiHg2 (PBE-GGA, optimized geometry); DOS at the Fermi energy = 0.64 states/eV per atom; calculated volume = 21.26 Å³ per atom; magnetic moment = 0.0 μB/f.u.; energy of formation from the pure elements = -0.50 eV/f.u.
1.0
3.016 -3.015 0.000
3.016 3.015 0.000
-0.009 0.000 4.676
Y Ni Hg
1 1 2
Cartesian
0.000 0.000 0.000
3.016 0.000 0.000
1.504 1.507 2.338
1.504 -1.507 2.338